Pa2NbOsN6: optimized geometry, PBE.

**SG**: No. 99
**Fermi-level density of states**: 0.967 states/eV per atom
**Uncorrected energy**: -97.16 eV for the cell shown

a = 4.967 Å, b = 5.263 Å, c = 5.263 Å
α = 90.00°, β = 90.00°, γ = 90.00°
Sites, in units of the cell vectors:
Pa1 0.002 0.500 0.000
Pa2 0.002 0.000 0.500
Nb1 0.572 0.500 0.500
Os1 0.563 0.000 0.000
N1 0.735 0.246 0.246
N2 0.735 0.246 0.754
N3 0.178 0.500 0.500
N4 0.188 0.000 0.000
N5 0.735 0.754 0.754
N6 0.735 0.754 0.246